[1]
An optimized crystal structure of P5Cl4, computed with PBE-GGA.

Lattice parameters (Å, degrees): 10.316 10.316 4.634 90.00 90.00 120.00
Atoms (fractional coordinates):
P: 0.000 0.490 0.250
P: 0.000 0.510 0.750
P: 0.333 0.667 0.000
P: 0.333 0.667 0.500
P: 0.490 0.000 0.250
P: 0.490 0.490 0.750
P: 0.510 0.000 0.750
P: 0.510 0.510 0.250
P: 0.667 0.333 0.000
P: 0.667 0.333 0.500
Cl: 0.000 0.000 0.000
Cl: 0.000 0.000 0.500
Cl: 0.000 0.294 0.250
Cl: 0.000 0.706 0.750
Cl: 0.294 0.000 0.250
Cl: 0.294 0.294 0.750
Cl: 0.706 0.000 0.750
Cl: 0.706 0.706 0.250

Calculated values
Energy above the most stable polymorph in this dataset, eV/atom: 0.093
DOS(E_F), states/eV/f.u.: 3.64
SG: P6_3/mcm
E_form (uncorrected), eV per atom: 0.192
Total DFT energy (no corrections), Ry per atom: -0.267
M_tot, μB per cell: 0.1

=====

[2]
An optimized crystal structure of Tl3SnBi2S6, computed with PBE-GGA.

Lattice parameters (Å, degrees): 7.108 7.108 7.765 98.72 98.72 119.95
Atoms (fractional coordinates):
Tl: 0.000 0.000 0.000
Tl: 0.328 0.672 0.000
Tl: 0.672 0.328 0.000
Sn: 0.500 0.500 0.500
Bi: 0.166 0.834 0.500
Bi: 0.834 0.166 0.500
S: 0.107 0.431 0.292
S: 0.246 0.246 0.712
S: 0.431 0.107 0.292
S: 0.569 0.893 0.708
S: 0.754 0.754 0.288
S: 0.893 0.569 0.708

Calculated values
DOS(E_F), states/eV/f.u.: 4.89
SG: C2/m
E_form (uncorrected), eV per atom: -0.391
Total DFT energy (no corrections), Ry per atom: -0.296
M_tot, μB per cell: 0.0

=====

[3]
An optimized crystal structure of PaZnNi5As2, computed with PBE-GGA.

Lattice parameters (Å, degrees): 3.872 3.872 8.493 90.00 90.00 90.00
Atoms (fractional coordinates):
Pa: 0.000 0.000 0.000
Zn: 0.000 0.000 0.500
Ni: 0.000 0.500 0.311
Ni: 0.000 0.500 0.689
Ni: 0.500 0.000 0.311
Ni: 0.500 0.000 0.689
Ni: 0.500 0.500 0.500
As: 0.500 0.500 0.160
As: 0.500 0.500 0.840

Calculated values
Energy of formation from the pure elements, meV/atom: -396
DOS(E_F), states/eV/f.u.: 9.59
SG: P4/mmm
Total DFT energy (no corrections), Ry per atom: -0.429
M_tot, μB per cell: 0.0

=====

[4]
An optimized crystal structure of BePCl3, computed with PBE-GGA.

Lattice parameters (Å, degrees): 4.555 4.555 4.555 90.00 90.00 90.00
Atoms (fractional coordinates):
Be: 0.000 0.000 0.000
P: 0.500 0.500 0.500
Cl: 0.000 0.000 0.500
Cl: 0.000 0.500 0.000
Cl: 0.500 0.000 0.000

Calculated values
Energy above the most stable polymorph in this dataset, eV/atom: 0.000
DOS(E_F), states/eV/f.u.: 3.79
SG: Pm-3m
E_form (uncorrected), eV per atom: 0.034
Total DFT energy (no corrections), Ry per atom: -0.213
M_tot, μB per cell: 2.0

=====

[5]
An optimized crystal structure of Be2H6Pd, computed with PBE-GGA.

Lattice parameters (Å, degrees): 4.214 4.214 4.214 60.00 60.00 60.00
Atoms (fractional coordinates):
Be: 0.250 0.250 0.250
Be: 0.750 0.750 0.750
H: 0.204 0.204 0.796
H: 0.204 0.796 0.204
H: 0.204 0.796 0.796
H: 0.796 0.204 0.204
H: 0.796 0.204 0.796
H: 0.796 0.796 0.204
Pd: 0.500 0.500 0.500

Calculated values
DOS(E_F), states/eV/f.u.: 1.64
SG: Fm-3m
Total DFT energy (no corrections), Ry per atom: -0.233
M_tot, μB per cell: 0.0

=====

[6]
An optimized crystal structure of YZrAsBr2, computed with PBE-GGA.

Lattice parameters (Å, degrees): 5.329 5.329 5.727 90.00 90.00 90.00
Atoms (fractional coordinates):
Y: 0.000 0.000 0.000
Zr: 0.500 0.500 0.500
As: 0.000 0.000 0.500
Br: 0.000 0.500 0.000
Br: 0.500 0.000 0.000

Calculated values
Energy above the most stable polymorph in this dataset, eV/atom: 0.272
DOS(E_F), states/eV/f.u.: 4.46
SG: P4/mmm
E_form (uncorrected), eV per atom: -0.196
Total DFT energy (no corrections), Ry per atom: -0.353
M_tot, μB per cell: 2.0

=====

Which of these has the highest DOS(E_F)? PaZnNi5As2